1.
The following is a DFT calculation (GGA-PBE) of a relaxed structure of BaDy2Lu.

POSCAR file:
```
BaDy2Lu
1.0
1.7907 1.0339 12.7349
-1.7907 1.0339 12.7349
0.0000 -2.0677 12.7349
Ba Dy Lu
1 2 1
Cartesian
0.0000 0.0000 0.0000
0.0000 0.0000 3.6113
0.0000 0.0000 34.5935
0.0000 0.0000 19.1024
```

Summary:
As for the formation energy: 0.23 eV per atom. The energy above the lowest structure with this stoichiometry is 5.3 kJ per mole of atoms. The magnetic moment is 0.1 μB per formula unit.

2.
The following is a DFT calculation (GGA-PBE) of a relaxed structure of BaDyLu2.

POSCAR file:
```
BaDyLu2
1.0
1.7749 1.0247 12.6886
-1.7749 1.0247 12.6886
0.0000 -2.0495 12.6886
Ba Dy Lu
1 1 2
Cartesian
0.0000 0.0000 0.0000
0.0000 0.0000 19.0328
0.0000 0.0000 3.5779
0.0000 0.0000 34.4878
```

Summary:
As for the formation energy: 0.26 eV per atom. The magnetic moment is 0.1 μB per formula unit.

3.
The following is a DFT calculation (GGA-PBE) of a relaxed structure of BaDy2Lu.

POSCAR file:
```
BaDy2Lu
1.0
3.9934 0.0000 0.0000
0.0000 3.9934 0.0000
0.0000 0.0000 9.4380
Ba Dy Lu
1 2 1
Cartesian
0.0000 0.0000 0.0000
1.9967 1.9967 2.8872
1.9967 1.9967 6.5508
0.0000 0.0000 4.7190
```

Summary:
As for the formation energy: 0.18 eV per atom. The energy above the lowest structure with this stoichiometry is 0.0 kJ per mole of atoms. The magnetic moment is 0.0 μB per formula unit.

4.
The following is a DFT calculation (GGA-PBE) of a relaxed structure of BaDy2Mg3.

POSCAR file:
```
BaDy2Mg3
1.0
3.8478 0.0000 0.0000
0.0000 3.8478 0.0000
0.0000 0.0000 12.6047
Ba Dy Mg
1 2 3
Cartesian
0.0000 0.0000 0.0000
0.0000 0.0000 4.5000
0.0000 0.0000 8.1047
1.9239 1.9239 2.5903
1.9239 1.9239 6.3023
1.9239 1.9239 10.0143
```

Summary:
As for the formation energy: -0.04 eV per atom. The magnetic moment is 0.0 μB per formula unit.

5.
The following is a DFT calculation (GGA-PBE) of a relaxed structure of BaDyMg.

POSCAR file:
```
BaDyMg
1.0
-2.0051 2.0051 6.9140
2.0051 -2.0051 6.9140
2.0051 2.0051 -6.9140
Ba Dy Mg
1 1 1
Cartesian
0.0000 0.0000 0.0000
0.0000 0.0000 4.0207
0.0000 0.0000 9.3324
```

Summary:
As for the formation energy: 0.09 eV per atom. The magnetic moment is 0.0 μB per formula unit.

6.
The following is a DFT calculation (GGA-PBE) of a relaxed structure of Ba2DyMg.

POSCAR file:
```
Ba2DyMg
1.0
1.8825 1.0869 13.2676
-1.8825 1.0869 13.2676
0.0000 -2.1737 13.2676
Ba Dy Mg
2 1 1
Cartesian
0.0000 0.0000 3.5678
0.0000 0.0000 36.2349
0.0000 0.0000 0.0000
0.0000 0.0000 19.9014
```

Summary:
As for the formation energy: 0.36 eV per atom. The magnetic moment is 0.0 μB per formula unit.

7.
The following is a DFT calculation (GGA-PBE) of a relaxed structure of BaDy4Mg5.

POSCAR file:
```
BaDy4Mg5
1.0
3.8316 0.0000 0.0000
0.0000 3.8316 0.0000
0.0000 0.0000 20.0844
Ba Dy Mg
1 4 5
Cartesian
0.0000 0.0000 0.0000
0.0000 0.0000 4.5154
0.0000 0.0000 8.1825
0.0000 0.0000 11.9020
0.0000 0.0000 15.5691
1.9158 1.9158 2.6048
1.9158 1.9158 6.3280
1.9158 1.9158 10.0422
1.9158 1.9158 13.7565
1.9158 1.9158 17.4796
```

Summary:
As for the formation energy: -0.06 eV per atom. The magnetic moment is 0.0 μB per formula unit.

8.
The following is a DFT calculation (GGA-PBE) of a relaxed structure of BaDy2Mg9.

POSCAR file:
```
BaDy2Mg9
1.0
3.0839 1.7805 10.0142
-3.0839 1.7805 10.0142
0.0000 -3.5610 10.0142
Ba Dy Mg
1 2 9
Cartesian
0.0000 0.0000 0.0000
0.0000 0.0000 4.4930
0.0000 0.0000 25.5495
-1.5674 -0.9049 12.6128
0.0000 0.0000 10.0443
0.0000 -1.8099 17.4296
-1.5674 0.9049 17.4296
0.0000 0.0000 15.0212
1.5674 -0.9049 12.6129
0.0000 1.8099 12.6129
0.0000 0.0000 19.9982
1.5674 0.9049 17.4297
```

Summary:
As for the formation energy: -0.06 eV per atom. The magnetic moment is 0.0 μB per formula unit.